Below is Ti4Se5O after structural relaxation, with properties calculated at the PBE level.

Results
Fermi-level density of states   0.541 states/eV/atom
Formation energy without anion corrections   -1.305 eV per atom

Cell lengths 15.622, 3.424, 7.052 Å; angles 90.00, 102.40, 90.00 degrees
Space group C2/m (No. 12)
Asymmetric unit:
Ti1 0.002 0.000 0.288 [4 per cell]
Ti2 0.136 0.500 0.567 [4 per cell]
Se1 0.000 0.500 0.000 [2 per cell]
Se2 0.162 0.000 0.835 [4 per cell]
Se3 0.170 0.000 0.327 [4 per cell]
O1 0.000 0.500 0.500 [2 per cell]



Below is TiTlSe2O8 after structural relaxation, with properties calculated at the PBE level.

Results
Fermi-level density of states   0.208 states/eV/atom
Formation energy without anion corrections   -1.170 eV per atom

Cell lengths 8.717, 5.568, 8.407 Å; angles 90.00, 93.78, 90.00 degrees
Space group C2/m (No. 12)
Asymmetric unit:
Ti1 0.000 0.000 0.000 [2 per cell]
Tl1 0.000 0.000 0.500 [2 per cell]
Se1 0.132 0.500 0.807 [4 per cell]
O1 0.018 0.248 0.829 [8 per cell]
O2 0.190 0.500 0.624 [4 per cell]
O3 0.225 0.000 0.040 [4 per cell]



Below is TiTl2Se2O6 after structural relaxation, with properties calculated at the PBE level.

Results
Formation energy without anion corrections   -1.174 eV per atom

Cell lengths 8.705, 6.653, 6.568 Å; angles 90.00, 99.79, 90.00 degrees
Space group C2/m (No. 12)
Asymmetric unit:
Ti1 0.000 0.000 0.000 [2 per cell]
Tl1 0.196 0.000 0.594 [4 per cell]
Se1 0.063 0.500 0.813 [4 per cell]
O1 0.035 0.206 0.804 [8 per cell]
O2 0.239 0.000 0.116 [4 per cell]



Below is TlSeO after structural relaxation, with properties calculated at the PBE level.

Results
Fermi-level density of states   0.304 states/eV/atom
Formation energy without anion corrections   -0.189 eV per atom

Cell lengths 14.479, 3.336, 6.944 Å; angles 90.00, 118.62, 90.00 degrees
Space group C2/m (No. 12)
Asymmetric unit:
Tl1 0.000 0.000 0.000 [2 per cell]
Tl2 0.000 0.000 0.500 [2 per cell]
Se1 0.247 0.500 0.368 [4 per cell]
O1 0.024 0.500 0.734 [4 per cell]



Below is Tl3SeO after structural relaxation, with properties calculated at the PBE level.

Results
Fermi-level density of states   0.459 states/eV/atom
Formation energy without anion corrections   -0.369 eV per atom
E above lowest polymorph   0.000 eV per atom

Cell lengths 3.888, 20.694, 6.700 Å; angles 90.00, 90.00, 90.00 degrees
Space group Cmc2_1 (No. 36)
Asymmetric unit:
Tl1 0.000 0.058 0.000 [4 per cell]
Tl2 0.000 0.209 0.171 [4 per cell]
Tl3 0.000 0.423 0.985 [4 per cell]
Se1 0.000 0.157 0.677 [4 per cell]
O1 0.000 0.385 0.664 [4 per cell]



Below is Tl4SeO after structural relaxation, with properties calculated at the PBE level.

Results
Formation energy without anion corrections   -0.440 eV per atom
E above lowest polymorph   0.026 eV per atom

Cell lengths 18.242, 4.137, 11.070 Å; angles 90.00, 100.54, 90.00 degrees
Space group C2/m (No. 12)
Asymmetric unit:
Tl1 0.065 0.000 0.138 [4 per cell]
Tl2 0.094 0.500 0.845 [4 per cell]
Tl3 0.145 0.500 0.481 [4 per cell]
Tl4 0.243 0.500 0.146 [4 per cell]
Se1 0.210 0.000 0.328 [4 per cell]
O1 0.115 0.500 0.057 [4 per cell]